! GGA-PBE Ba2MgHgAu, optimized geometry; values from VASP
&SYSTEM
  ibrav = 0, nat = 5, ntyp = 4
/
ATOMIC_SPECIES
Mg 24.30 Mg.upf
Au 196.97 Au.upf
Hg 200.59 Hg.upf
Ba 137.33 Ba.upf
ATOMIC_POSITIONS angstrom
Mg -0.035 1.315 2.217
Au 0.000 0.000 0.000
Hg -3.347 -1.300 3.717
Ba -0.149 -2.722 1.612
Ba -3.163 0.106 -0.112
CELL_PARAMETERS angstrom
-6.326 0.213 -0.225
-0.298 -5.444 3.224
-0.069 2.631 4.435
! - DOS at the Fermi energy: 2.80 states/eV/cell
! - ΔE_f: -0.37 eV per atom
! - Theoretical density: 5.59 Mg/m³
! - Total energy: -2.175 eV/atom